Below is a relaxed ScSbIr3 crystal, with properties calculated at the GGA-PBE level.

```
ScSbIr3
1.0
-0.249 -0.922 4.644
0.129 -4.650 -0.916
4.733 0.078 0.269
Ir Sc Sb
3 1 1
Cartesian
2.367 0.039 0.134
0.064 -2.325 -0.458
-0.124 -0.461 2.322
0.000 0.000 0.000
2.307 -2.747 1.999
```

Summary:
Spin magnetization   0.00 μB per cell
Formation energy (no corrections)   1.265 eV per atom
Symmetry   No. 221

=====

Below is a relaxed ScSbIr4 crystal, with properties calculated at the GGA-PBE level.

```
ScSbIr4
1.0
-4.044 -2.747 2.012
-1.715 1.023 4.895
-4.685 2.340 0.725
Ir Sb Sc
4 1 1
Cartesian
-6.259 1.400 3.225
-3.917 0.231 2.863
-5.938 -1.142 3.868
-4.774 0.742 5.309
-7.833 0.462 5.724
0.000 0.000 0.000
```

Summary:
Spin magnetization   0.00 μB per cell
Formation energy (no corrections)   -0.205 eV per atom
Symmetry   No. 216

=====

Below is a relaxed Sc2SbIr crystal, with properties calculated at the GGA-PBE level.

```
Sc2SbIr
1.0
4.301 0.000 0.000
0.000 3.597 0.004
0.000 1.792 5.329
Sc Ir Sb
2 1 1
Cartesian
0.000 5.165 5.023
2.151 1.572 1.804
0.000 3.368 2.322
2.151 3.368 4.182
```

Summary:
Spin magnetization   0.00 μB per cell
Formation energy (no corrections)   -0.831 eV per atom
Symmetry   No. 38

=====

Below is a relaxed ScSbIr3 crystal, with properties calculated at the GGA-PBE level.

```
ScSbIr3
1.0
4.819 0.000 0.000
0.000 4.819 0.000
0.000 0.000 4.819
Ir Sb Sc
3 1 1
Cartesian
0.000 0.000 2.409
0.000 2.409 0.000
2.409 0.000 0.000
0.000 0.000 0.000
2.409 2.409 2.409
```

Summary:
Spin magnetization   0.00 μB per cell
Formation energy (no corrections)   0.971 eV per atom
Symmetry   No. 221

=====

Below is a relaxed Sc2SbIr crystal, with properties calculated at the GGA-PBE level.

```
Sc2SbIr
1.0
-3.559 -2.185 -4.342
-1.576 -4.779 -3.313
-3.575 -2.067 1.679
Sc Ir Sb
2 1 1
Cartesian
-3.577 -2.075 1.662
-6.593 -6.961 -4.840
-4.348 -4.498 -2.957
-2.121 -2.078 -1.152
```

Summary:
Spin magnetization   0.00 μB per cell
Formation energy (no corrections)   -0.716 eV per atom
Symmetry   No. 44

=====

Below is a relaxed Sc4SbIr crystal, with properties calculated at the GGA-PBE level.

```
Sc4SbIr
1.0
-3.996 1.970 -2.801
-0.876 -5.447 -2.582
-2.108 -3.430 7.951
Sc Ir Sb
8 2 2
Cartesian
-2.452 -3.881 -1.757
-2.323 -5.224 4.476
-4.527 -3.025 4.325
-3.531 -1.723 1.240
-4.656 -1.682 -1.908
-2.743 -7.835 3.239
-3.448 -5.184 1.328
-4.236 0.929 -0.671
-4.903 -4.047 -0.577
-2.077 -2.860 3.145
-5.394 -5.874 3.444
-1.585 -1.032 -0.877
```

Summary:
Spin magnetization   0.00 μB per cell
Formation energy (no corrections)   -0.717 eV per atom
Symmetry   No. 11

=====

Below is a relaxed Sc2SbIr crystal, with properties calculated at the GGA-PBE level.

```
Sc2SbIr
1.0
-4.552 -2.344 -0.476
-0.433 -3.344 3.882
1.204 4.999 0.010
Ir Sc Sb
1 2 1
Cartesian
-0.861 -0.595 2.797
-2.493 -2.844 1.703
0.000 0.000 0.000
-2.920 -0.095 0.619
```

Summary:
Spin magnetization   0.00 μB per cell
Formation energy (no corrections)   -0.708 eV per atom
Symmetry   No. 139

=====

Below is a relaxed ScSb2TeIr crystal, with properties calculated at the GGA-PBE level.

```
ScSb2TeIr
1.0
5.341 0.000 0.000
0.000 5.341 0.000
0.000 0.000 5.283
Ir Sb Sc Te
1 2 1 1
Cartesian
2.671 2.671 2.641
0.000 2.671 0.000
2.671 0.000 0.000
0.000 0.000 0.000
0.000 0.000 2.641
```

Summary:
Spin magnetization   0.59 μB per cell
Formation energy (no corrections)   0.990 eV per atom
Symmetry   No. 123

=====

Below is a relaxed ScSb2TeIr crystal, with properties calculated at the GGA-PBE level.

```
ScSb2TeIr
1.0
-4.966 -0.903 -0.556
0.840 -4.975 0.577
-0.710 0.518 5.499
Sb Sc Te Ir
2 1 1 1
Cartesian
-2.483 -0.452 -0.278
0.420 -2.488 0.289
-2.418 -2.680 2.760
-0.355 0.259 2.749
0.000 0.000 0.000
```

Summary:
Spin magnetization   0.00 μB per cell
Formation energy (no corrections)   0.299 eV per atom
Symmetry   No. 123

=====

Below is a relaxed ScTl2SbIr crystal, with properties calculated at the GGA-PBE level.

```
ScTl2SbIr
1.0
5.538 0.000 0.000
0.000 5.353 0.000
0.000 0.000 5.538
Ir Tl Sb Sc
1 2 1 1
Cartesian
2.769 2.677 2.769
2.769 0.000 0.000
0.000 0.000 2.769
0.000 2.677 0.000
0.000 0.000 0.000
```

Summary:
Spin magnetization   1.63 μB per cell
Formation energy (no corrections)   1.183 eV per atom
Symmetry   No. 123

=====

Below is a relaxed SbIr2Se crystal, with properties calculated at the GGA-PBE level.

```
SbIr2Se
1.0
4.650 0.000 0.000
2.325 4.027 0.000
2.325 1.342 3.797
Se Ir Sb
1 2 1
Cartesian
6.975 4.027 2.848
0.000 0.000 0.000
2.325 1.342 0.949
4.650 2.685 1.898
```

Summary:
Spin magnetization   0.00 μB per cell
Formation energy (no corrections)   0.684 eV per atom
Symmetry   No. 216

=====

Below is a relaxed SbIrSe crystal, with properties calculated at the GGA-PBE level.

```
SbIrSe
1.0
-0.578 -1.875 3.195
2.764 -1.040 -2.311
3.423 3.350 2.586
Ir Se Sb
1 1 1
Cartesian
3.355 3.284 2.534
4.203 1.181 1.453
1.473 -0.680 2.068
```

Summary:
Spin magnetization   0.00 μB per cell
Formation energy (no corrections)   -0.097 eV per atom
Symmetry   No. 156

=====

Below is a relaxed SbIrSe crystal, with properties calculated at the GGA-PBE level.

```
SbIrSe
1.0
4.482 0.000 0.000
2.241 3.882 0.000
2.241 1.294 3.660
Sb Ir Se
1 1 1
Cartesian
0.000 0.000 0.000
6.723 3.882 2.745
4.482 2.588 1.830
```

Summary:
Spin magnetization   0.00 μB per cell
Formation energy (no corrections)   -0.137 eV per atom
Symmetry   No. 216

=====

Below is a relaxed SbIrSe2 crystal, with properties calculated at the GGA-PBE level.

```
SbIrSe2
1.0
-3.010 1.940 -3.187
-1.632 -4.143 1.774
-4.112 0.832 2.163
Se Ir Sb
2 1 1
Cartesian
0.000 0.000 0.000
-2.321 -1.102 -0.707
-3.561 1.386 -0.512
-2.872 -1.655 1.968
```

Summary:
Spin magnetization   0.00 μB per cell
Formation energy (no corrections)   0.203 eV per atom
Symmetry   No. 69

=====

Below is a relaxed SbIr4Se crystal, with properties calculated at the GGA-PBE level.

```
SbIr4Se
1.0
3.990 2.017 2.888
-0.267 5.011 1.773
-0.689 0.953 5.190
Ir Se Sb
4 1 1
Cartesian
3.133 4.001 5.138
1.004 5.499 4.581
0.793 3.469 6.290
1.138 2.992 3.694
0.000 0.000 0.000
2.276 5.985 7.388
```

Summary:
Spin magnetization   0.00 μB per cell
Formation energy (no corrections)   0.702 eV per atom
Symmetry   No. 216

=====

Below is a relaxed SbIr2Se crystal, with properties calculated at the GGA-PBE level.

```
SbIr2Se
1.0
-1.169 1.869 5.346
-4.649 -1.847 2.901
5.050 -1.060 -2.611
Ir Sb Se
2 1 1
Cartesian
-0.028 0.000 0.039
-1.187 -1.448 2.113
-2.778 0.011 3.938
0.315 0.411 3.671
```

Summary:
Spin magnetization   0.00 μB per cell
Formation energy (no corrections)   0.397 eV per atom
Symmetry   No. 44

=====

Below is a relaxed SbIr3Se crystal, with properties calculated at the GGA-PBE level.

```
SbIr3Se
1.0
4.653 0.000 0.000
0.000 4.653 0.000
0.000 0.000 4.653
Se Ir Sb
1 3 1
Cartesian
0.000 0.000 0.000
2.326 0.000 0.000
0.000 2.326 0.000
0.000 0.000 2.326
2.326 2.326 2.326
```

Summary:
Spin magnetization   0.00 μB per cell
Formation energy (no corrections)   1.106 eV per atom
Symmetry   No. 221

=====

Below is a relaxed SbIr2Se crystal, with properties calculated at the GGA-PBE level.

```
SbIr2Se
1.0
-0.931 -0.323 4.271
3.651 -2.345 0.619
1.837 3.027 0.629
Ir Sb Se
2 1 1
Cartesian
0.000 0.000 0.000
1.360 -1.334 2.445
0.453 1.352 2.450
2.744 0.341 0.624
```

Summary:
Spin magnetization   0.00 μB per cell
Formation energy (no corrections)   0.427 eV per atom
Symmetry   No. 123

=====

Below is a relaxed SbIrSe2 crystal, with properties calculated at the GGA-PBE level.

```
SbIrSe2
1.0
1.723 -12.411 1.884
4.345 -11.539 2.923
1.994 -11.594 4.708
Se Ir Sb
2 1 1
Cartesian
0.513 -2.260 0.605
7.549 -33.285 8.910
0.000 0.000 0.000
4.031 -17.772 4.757
```

Summary:
Spin magnetization   0.00 μB per cell
Formation energy (no corrections)   0.359 eV per atom
Symmetry   No. 166

=====

Below is a relaxed SbIr2Se crystal, with properties calculated at the GGA-PBE level.

```
SbIr2Se
1.0
4.412 -0.003 0.002
3.278 2.953 0.002
1.180 0.453 5.399
Sb Ir Se
1 2 1
Cartesian
6.652 2.552 4.053
4.433 1.701 2.662
7.690 2.950 0.044
2.217 0.851 1.351
```

Summary:
Spin magnetization   0.00 μB per cell
Formation energy (no corrections)   0.336 eV per atom
Symmetry   No. 12